Entry from Alexandria: a geometry-optimized Ba4InPb structure (PBE-GGA).

## Properties
excess energy over the best structure of this formula in the dataset = 0.565 eV/atom
formation energy = 0.203 eV per atom

a b c (Å): 7.2634 7.2634 7.2634
angles (deg): 60.00 60.00 60.00
Element x y z (fractional)
Ba (0.8763, 0.3746, 0.3746)
Ba (0.3746, 0.3746, 0.8763)
Ba (0.3746, 0.8763, 0.3746)
Ba (0.3746, 0.3746, 0.3746)
In (0.7500, 0.7500, 0.7500)
Pb (0.0000, 0.0000, 0.0000)

***

Entry from Alexandria: a geometry-optimized Sc3Pa structure (PBE-GGA).

## Properties
excess energy over the best structure of this formula in the dataset = 0.000 eV/atom
formation energy = 0.024 eV per atom

a b c (Å): 3.2391 3.2391 10.6844
angles (deg): 90.00 90.00 120.00
Each line ends with the local moment (μB).
Element x y z (fractional)
Sc (0.0000, 0.0000, 0.5000)  0.27
Sc (0.6667, 0.3333, 0.2510)  0.05
Sc (0.6667, 0.3333, 0.7490)  0.05
Pa (0.0000, 0.0000, 0.0000)  0.00

***

Entry from Alexandria: a geometry-optimized La8Nd2Sm3 structure (PBE-GGA).

## Properties
excess energy over the best structure of this formula in the dataset = 0.027 eV/atom
formation energy = 0.174 eV per atom

a b c (Å): 5.9115 7.7521 11.1514
angles (deg): 110.34 90.04 90.00
Element x y z (fractional)
La (0.0016, 0.6736, 0.3471)
La (0.9984, 0.3264, 0.6529)
La (0.9991, 0.1336, 0.2673)
La (0.0009, 0.8664, 0.7327)
La (0.4996, 0.5988, 0.7923)
La (0.4996, 0.1935, 0.7923)
La (0.5004, 0.8065, 0.2077)
La (0.5004, 0.4012, 0.2077)
Nd (0.4979, 0.2420, 0.4840)
Nd (0.5021, 0.7580, 0.5160)
Sm (0.5000, 0.0000, 0.0000)
Sm (0.0000, 0.2809, 0.0000)
Sm (0.0000, 0.7191, 0.0000)

***

Entry from Alexandria: a geometry-optimized LaTcI2 structure (PBE-GGA).

## Properties
excess energy over the best structure of this formula in the dataset = 0.000 eV/atom
ΔE_f (raw) = 0.08 eV/atom

a b c (Å): 5.4043 5.4043 5.4043
angles (deg): 60.00 60.00 60.00
Each line ends with the local moment (μB).
Element x y z (fractional)
I (0.2500, 0.2500, 0.2500)  0.10
I (0.7500, 0.7500, 0.7500)  0.10
Tc (0.0000, 0.0000, 0.0000)  2.78
La (0.5000, 0.5000, 0.5000)  0.14

***

Entry from Alexandria: a geometry-optimized Ca3Ac13 structure (PBE-GGA).

## Properties
formation energy = 0.025 eV per atom

a b c (Å): 9.4548 9.4548 8.0235
angles (deg): 90.00 90.00 94.25
Element x y z (fractional)
Ca (0.9574, 0.0426, 0.2489)
Ca (0.7104, 0.2896, 0.0000)
Ca (0.9574, 0.0426, 0.7511)
Ac (0.5398, 0.9582, 0.2502)
Ac (0.4577, 0.5423, 0.2535)
Ac (0.0418, 0.4602, 0.2502)
Ac (0.7916, 0.7084, 0.0000)
Ac (0.2916, 0.2084, 0.0000)
Ac (0.2131, 0.7869, 0.0000)
Ac (0.5398, 0.9582, 0.7498)
Ac (0.4577, 0.5423, 0.7465)
Ac (0.0418, 0.4602, 0.7498)
Ac (0.7073, 0.2927, 0.5000)
Ac (0.7898, 0.7060, 0.5000)
Ac (0.2940, 0.2102, 0.5000)
Ac (0.2089, 0.7911, 0.5000)

***

Entry from Alexandria: a geometry-optimized SrYZnPt structure (PBE-GGA).

## Properties
formation energy = -0.557 eV per atom

a b c (Å): 5.1317 5.1317 5.1317
angles (deg): 60.00 60.00 60.00
Element x y z (fractional)
Y (0.5000, 0.5000, 0.5000)
Sr (0.0000, 0.0000, 0.0000)
Zn (0.2500, 0.2500, 0.2500)
Pt (0.7500, 0.7500, 0.7500)

***

Entry from Alexandria: a geometry-optimized RbBa3Tl structure (PBE-GGA).

## Properties
excess energy over the best structure of this formula in the dataset = 0.750 eV/atom
formation energy = 0.691 eV per atom

a b c (Å): 6.7828 6.7828 6.7828
angles (deg): 90.00 90.00 90.00
Each line ends with the local moment (μB).
Element x y z (fractional)
Tl (0.5000, 0.5000, 0.5000)  -0.04
Ba (0.0000, 0.5000, 0.0000)  0.17
Ba (0.0000, 0.0000, 0.5000)  0.27
Ba (0.5000, 0.0000, 0.0000)  0.10
Rb (0.0000, 0.0000, 0.0000)  0.12

***

Entry from Alexandria: a geometry-optimized CsHfInI6 structure (PBE-GGA).

## Properties
ΔE_f (raw) = -0.96 eV/atom

a b c (Å): 8.4166 8.4166 15.9678
angles (deg): 90.00 90.00 120.00
Element x y z (fractional)
Cs (0.0000, 0.0000, 0.0000)
Cs (0.0000, 0.0000, 0.5000)
Hf (0.6667, 0.3333, 0.2500)
Hf (0.3333, 0.6667, 0.7500)
In (0.3333, 0.6667, 0.2500)
In (0.6667, 0.3333, 0.7500)
I (0.6561, 0.6051, 0.1463)
I (0.9490, 0.3439, 0.1463)
I (0.3439, 0.9490, 0.6463)
I (0.0510, 0.6561, 0.8537)
I (0.3949, 0.3439, 0.3537)
I (0.9490, 0.6051, 0.3537)
I (0.6051, 0.9490, 0.8537)
I (0.6561, 0.0510, 0.3537)
I (0.0510, 0.3949, 0.6463)
I (0.3949, 0.0510, 0.1463)
I (0.6051, 0.6561, 0.6463)
I (0.3439, 0.3949, 0.8537)

***

What are the M_tot values for these records? In order: 0.00, 0.66, 0.00, 3.87, 0.00, 0.00, 1.98, 0.00 μB per formula unit.